! Tl2InOs (meta-GGA SCAN, single point on PBEsol structure); values from VASP
&SYSTEM
  ibrav = 0, nat = 4, ntyp = 3
/
ATOMIC_SPECIES
Tl 204.38 Tl.upf
In 114.82 In.upf
Os 190.23 Os.upf
CELL_PARAMETERS angstrom
1.5488 0.8942 10.5099
-1.5488 0.8942 10.5099
0.0000 -1.7884 10.5099
ATOMIC_POSITIONS angstrom
Tl 0.0000 0.0000 7.5157
Tl 0.0000 0.0000 24.0140
In 0.0000 0.0000 0.0000
Os 0.0000 0.0000 15.7648
! * relative energy among the computed polymorphs: 0.000 eV/f.u.
! * electronic total energy: -4.5373 Ry/atom
! * theoretical density: 13.57 g/cm³
! * size of the total moment: 0.0 μB/f.u.


! Tl2InOs (meta-GGA SCAN, single point on PBEsol structure); values from VASP
&SYSTEM
  ibrav = 0, nat = 4, ntyp = 3
/
ATOMIC_SPECIES
Tl 204.38 Tl.upf
In 114.82 In.upf
Os 190.23 Os.upf
CELL_PARAMETERS angstrom
2.9256 -4.1060 0.0000
2.9256 4.1060 0.0000
0.0000 0.0000 3.4198
ATOMIC_POSITIONS angstrom
Tl 1.4628 2.0530 0.0000
Tl 1.4628 -2.0530 0.0000
In 0.0000 0.0000 1.7099
Os 2.9256 0.0000 1.7099
! * relative energy among the computed polymorphs: 0.836 eV/f.u.
! * electronic total energy: -4.5219 Ry/atom
! * theoretical density: 14.43 g/cm³
! * size of the total moment: 0.0 μB/f.u.


! InOsW2 (meta-GGA SCAN, single point on PBEsol structure); values from VASP
&SYSTEM
  ibrav = 0, nat = 4, ntyp = 3
/
ATOMIC_SPECIES
In 114.82 In.upf
Os 190.23 Os.upf
W 183.84 W.upf
CELL_PARAMETERS angstrom
2.8413 0.0000 0.0000
0.0000 2.8413 0.0000
0.0000 0.0000 8.0345
ATOMIC_POSITIONS angstrom
In 0.0000 0.0000 0.0000
Os 0.0000 0.0000 4.0173
W 1.4206 1.4206 2.2044
W 1.4206 1.4206 5.8302
! * electronic total energy: -4.4738 Ry/atom
! * theoretical density: 17.22 g/cm³
! * size of the total moment: 0.0 μB/f.u.


! InOsW2 (meta-GGA SCAN, single point on PBEsol structure); values from VASP
&SYSTEM
  ibrav = 0, nat = 4, ntyp = 3
/
ATOMIC_SPECIES
In 114.82 In.upf
Os 190.23 Os.upf
W 183.84 W.upf
CELL_PARAMETERS angstrom
2.7107 -4.1739 0.0000
2.7107 4.1739 0.0000
0.0000 0.0000 2.8313
ATOMIC_POSITIONS angstrom
In 0.0000 0.0000 0.0000
Os 2.7107 0.0000 0.0000
W 1.3553 2.0869 1.4156
W 1.3553 -2.0869 1.4156
! * electronic total energy: -4.4545 Ry/atom
! * theoretical density: 17.44 g/cm³
! * size of the total moment: 0.0 μB/f.u.


! InOs2W (meta-GGA SCAN, single point on PBEsol structure); values from VASP
&SYSTEM
  ibrav = 0, nat = 4, ntyp = 3
/
ATOMIC_SPECIES
In 114.82 In.upf
Os 190.23 Os.upf
W 183.84 W.upf
CELL_PARAMETERS angstrom
0.0000 3.1465 3.1465
3.1465 0.0000 3.1465
3.1465 3.1465 0.0000
ATOMIC_POSITIONS angstrom
In 0.0000 0.0000 0.0000
Os 1.5733 1.5733 1.5733
Os 4.7198 4.7198 4.7198
W 3.1465 3.1465 3.1465
! * electronic total energy: -4.5064 Ry/atom
! * theoretical density: 18.10 g/cm³
! * size of the total moment: 0.0 μB/f.u.


! InOsW2 (meta-GGA SCAN, single point on PBEsol structure); values from VASP
&SYSTEM
  ibrav = 0, nat = 4, ntyp = 3
/
ATOMIC_SPECIES
In 114.82 In.upf
Os 190.23 Os.upf
W 183.84 W.upf
CELL_PARAMETERS angstrom
3.8969 0.0000 0.0000
0.0000 3.8969 0.0000
0.0000 0.0000 4.2242
ATOMIC_POSITIONS angstrom
In 0.0000 0.0000 0.0000
Os 1.9484 1.9484 0.0000
W 0.0000 1.9484 2.1121
W 1.9484 0.0000 2.1121
! * electronic total energy: -4.4536 Ry/atom
! * theoretical density: 17.41 g/cm³
! * size of the total moment: 0.0 μB/f.u.